Model 1:
BaTcSe2 after structural relaxation, computed with PBE-GGA.

Cell: 8.618 8.618 8.618 Å, 33.82 33.82 33.82°
Site moments in Bohr magnetons follow the coordinates.
Fractional coordinates of all 4 atoms:
Se: 0.100 0.100 0.100  0.10
Se: 0.900 0.900 0.900  0.10
Tc: 0.000 0.000 0.000  3.62
Ba: 0.500 0.500 0.500  0.04

Summary:
density of states at the Fermi level: 0.1825 states/eV per atom
total moment: 4.96 μB per cell

Model 2:
BaTcSe2 after structural relaxation, computed with PBE-GGA.

Cell: 5.063 5.063 5.063 Å, 60.00 60.00 60.00°
Site moments in Bohr magnetons follow the coordinates.
Fractional coordinates of all 4 atoms:
Se: 0.250 0.250 0.250  -0.04
Se: 0.750 0.750 0.750  -0.04
Ba: 0.500 0.500 0.500  -0.01
Tc: 0.000 0.000 0.000  1.00

Summary:
density of states at the Fermi level: 0.4685 states/eV per atom
total moment: 1.00 μB per cell

Model 3:
BaTcSe2 after structural relaxation, computed with PBE-GGA.

Cell: 4.176 4.176 6.828 Å, 72.21 72.21 60.00°
Site moments in Bohr magnetons follow the coordinates.
Fractional coordinates of all 4 atoms:
Ba: 0.750 0.750 0.750  -0.01
Se: 0.973 0.973 0.080  0.02
Se: 0.527 0.527 0.420  0.02
Tc: 0.250 0.250 0.250  0.82

Summary:
density of states at the Fermi level: 1.0598 states/eV per atom
total moment: 0.99 μB per cell

Model 4:
BaTcSe2 after structural relaxation, computed with PBE-GGA.

Cell: 3.998 3.998 7.576 Å, 90.00 90.00 115.54°
Site moments in Bohr magnetons follow the coordinates.
Fractional coordinates of all 4 atoms:
Se: 0.000 0.000 0.453  0.03
Ba: 0.500 0.500 0.750  0.02
Tc: 0.500 0.500 0.250  2.40
Se: 0.000 0.000 0.047  0.03

Summary:
density of states at the Fermi level: 0.5190 states/eV per atom
total moment: 3.00 μB per cell

Verdict on stability: model 3 comes out on top.

Model 1:
BaTcSe2 after structural relaxation, computed with PBE-GGA.

Cell: 6.558 6.558 4.283 Å, 70.92 70.92 38.66°
Fractional coordinates of all 4 atoms:
Tc: 0.439 0.439 0.686
Se: 0.339 0.339 0.286
Se: 0.030 0.030 0.595
Ba: 0.693 0.693 0.932

Summary:
density of states at the Fermi level: 0.7121 states/eV per atom
total moment: 0.00 μB per cell

Model 2:
BaTcSe2 after structural relaxation, computed with PBE-GGA.

Cell: 3.452 3.452 7.533 Å, 90.00 90.00 90.00°
Site moments in Bohr magnetons follow the coordinates.
Fractional coordinates of all 4 atoms:
Se: 0.000 0.000 0.446  0.00
Tc: 0.500 0.500 0.250  1.60
Ba: 0.500 0.500 0.750  0.10
Se: 0.000 0.000 0.054  0.00

Summary:
density of states at the Fermi level: 0.7571 states/eV per atom
total moment: 1.96 μB per cell

Verdict on stability: model 1 comes out on top.

Model 1:
BaTcSe2 after structural relaxation, computed with PBE-GGA.

Cell: 4.968 4.458 4.968 Å, 90.01 90.00 90.00°
Site moments in Bohr magnetons follow the coordinates.
Fractional coordinates of all 4 atoms:
Se: 0.500 0.250 0.375  0.02
Tc: 0.000 0.250 0.375  1.02
Se: 0.000 0.250 0.875  0.02
Ba: 0.500 0.750 0.875  0.01

Summary:
density of states at the Fermi level: 0.9170 states/eV per atom
total moment: 1.22 μB per cell

Model 2:
BaTcSe2 after structural relaxation, computed with PBE-GGA.

Cell: 5.270 5.270 5.270 Å, 60.00 60.00 60.00°
Site moments in Bohr magnetons follow the coordinates.
Fractional coordinates of all 4 atoms:
Se: 0.000 0.000 0.000  0.09
Se: 0.250 0.250 0.250  0.20
Tc: 0.750 0.750 0.750  3.31
Ba: 0.500 0.500 0.500  0.09

Summary:
density of states at the Fermi level: 1.0716 states/eV per atom
total moment: 4.39 μB per cell

Verdict on stability: model 1 comes out on top.

Model 1:
BaTcSe2 after structural relaxation, computed with PBE-GGA.

Cell: 6.260 6.260 7.832 Å, 66.45 66.45 90.00°
Fractional coordinates of all 8 atoms:
Se: 0.233 0.625 0.250
Se: 0.375 0.483 0.750
Se: 0.875 0.767 0.750
Ba: 0.750 0.250 0.500
Tc: 0.500 0.500 0.000
Se: 0.517 0.125 0.250
Tc: 0.250 0.750 0.500
Ba: 0.000 0.000 0.000

Summary:
density of states at the Fermi level: 0.8181 states/eV per atom
total moment: 0.00 μB per cell

Model 2:
BaTcSe2 after structural relaxation, computed with PBE-GGA.

Cell: 6.911 6.911 6.911 Å, 143.78 143.78 52.15°
Site moments in Bohr magnetons follow the coordinates.
Fractional coordinates of all 4 atoms:
Se: 0.000 0.000 0.000  0.10
Tc: 0.500 0.500 0.000  3.57
Ba: 0.750 0.250 0.500  0.02
Se: 0.250 0.750 0.500  0.17

Summary:
density of states at the Fermi level: 0.4039 states/eV per atom
total moment: 4.62 μB per cell

Model 3:
BaTcSe2 after structural relaxation, computed with PBE-GGA.

Cell: 3.335 3.335 9.355 Å, 90.00 90.00 90.00°
Fractional coordinates of all 4 atoms:
Ba: 0.500 0.500 0.731
Se: 0.000 0.000 0.974
Se: 0.500 0.500 0.345
Tc: 0.000 0.000 0.450

Summary:
density of states at the Fermi level: 0.8987 states/eV per atom
total moment: 0.00 μB per cell

Model 4:
BaTcSe2 after structural relaxation, computed with PBE-GGA.

Cell: 5.714 5.714 5.714 Å, 140.58 112.81 80.78°
Site moments in Bohr magnetons follow the coordinates.
Fractional coordinates of all 4 atoms:
Se: 0.935 0.935 0.000  0.02
Se: 0.565 0.565 0.000  0.02
Tc: 0.750 0.250 0.500  1.17
Ba: 0.250 0.750 0.500  -0.01

Summary:
density of states at the Fermi level: 0.6133 states/eV per atom
total moment: 1.40 μB per cell

Verdict on stability: model 4 comes out on top.